Entry 1:
Here is La2InGe2 after structural relaxation from Alexandria via LeMat-Bulk. Energies are from GGA-PBEsol.

* Fermi-level density of states: 0.900 states/eV/atom
* E_form: -2.27 eV/f.u.
* polymorph energy (0 for the lowest one): 0.348 eV per atom
* total energy: -5.164 eV/atom

a = 3.769 Å, b = 3.769 Å, c = 9.745 Å
α = 101.15°, β = 101.15°, γ = 90.00°
Element x y z (fractional)
La1 0.385 0.385 0.771
La2 0.615 0.615 0.229
Ge1 0.250 0.750 0.500
Ge2 0.750 0.250 0.500
In1 0.000 0.000 0.000

***

Entry 2:
Here is BeTe2 after structural relaxation from Alexandria via LeMat-Bulk. Energies are from GGA-PBEsol.

* Fermi-level density of states: 0.801 states/eV/atom
* polymorph energy (0 for the lowest one): 1.103 eV per atom
* total energy: -2.523 eV/atom
* energy relative to the elements, uncorrected: 1.161 eV per atom

a = 6.206 Å, b = 6.206 Å, c = 6.206 Å
α = 60.00°, β = 60.00°, γ = 60.00°
Element x y z (fractional)
Te1 0.125 0.125 0.625
Te2 0.125 0.625 0.125
Te3 0.625 0.125 0.125
Te4 0.125 0.125 0.125
Be1 0.750 0.750 0.750
Be2 0.500 0.500 0.500

***

Entry 3:
Here is USi3 after structural relaxation from Alexandria via LeMat-Bulk. Energies are from GGA-PBEsol.

* Fermi-level density of states: 0.729 states/eV/atom
* total energy: -7.793 eV/atom
* energy relative to the elements, uncorrected: -0.443 eV per atom

a = 3.982 Å, b = 3.982 Å, c = 3.982 Å
α = 90.00°, β = 90.00°, γ = 90.00°
Element x y z (fractional)
U1 0.000 0.000 0.000
Si1 0.000 0.500 0.500
Si2 0.500 0.000 0.500
Si3 0.500 0.500 0.000

***

Entry 4:
Here is ZnTc4 after structural relaxation from Alexandria via LeMat-Bulk. Energies are from GGA-PBEsol.

* Fermi-level density of states: 1.215 states/eV/atom
* E_form: 7.56 eV/f.u.
* polymorph energy (0 for the lowest one): 1.427 eV per atom
* total energy: -7.818 eV/atom

a = 4.724 Å, b = 4.724 Å, c = 4.724 Å
α = 109.47°, β = 109.47°, γ = 109.47°
Element x y z (fractional)
Zn1 0.000 0.000 0.000
Tc1 0.000 0.500 0.000
Tc2 0.000 0.000 0.500
Tc3 0.500 0.500 0.500
Tc4 0.500 0.000 0.000

***

What did the third record say?
Here is USi3 after structural relaxation from Alexandria via LeMat-Bulk. Energies are from GGA-PBEsol.

* Fermi-level density of states: 0.729 states/eV/atom
* total energy: -7.793 eV/atom
* energy relative to the elements, uncorrected: -0.443 eV per atom

a = 3.982 Å, b = 3.982 Å, c = 3.982 Å
α = 90.00°, β = 90.00°, γ = 90.00°
Element x y z (fractional)
U1 0.000 0.000 0.000
Si1 0.000 0.500 0.500
Si2 0.500 0.000 0.500
Si3 0.500 0.500 0.000

***

Among the records above, which one has the highest Fermi-level density of states? ZnTc4